# YTlFe2 PBE-GGA relaxed
data_YTlFe2
_chemical_formula_sum 'Y1 Tl1 Fe2'
_cell_length_a 3.447
_cell_length_b 4.462
_cell_length_c 5.468
_cell_angle_alpha 90.00
_cell_angle_beta 90.75
_cell_angle_gamma 90.00
_space_group_name_H-M_alt 'P 1 2/m 1'
_space_group_IT_number 10
loop_
_space_group_symop_operation_xyz
'x,y,z'
'-x,-y,-z'
'-x,y,-z'
'x,-y,z'
loop_
_atom_site_label
_atom_site_fract_x
_atom_site_fract_y
_atom_site_fract_z
_atom_site_occupancy
Y1 0.000 0.000 0.000 1
Tl1 0.500 0.000 0.500 1
Fe1 0.463 0.500 0.793 1
# * crystal system: monoclinic
# * uncorrected energy: -6.07 eV per atom

=====

# YTl2Fe PBE-GGA relaxed
data_YTl2Fe
_chemical_formula_sum 'Y2 Tl4 Fe2'
_cell_length_a 4.444
_cell_length_b 4.444
_cell_length_c 9.519
_cell_angle_alpha 90.00
_cell_angle_beta 90.00
_cell_angle_gamma 90.00
_space_group_name_H-M_alt 'I -4 m 2'
_space_group_IT_number 119
_space_group_name_Hall 'I -4 -2'
loop_
_atom_site_label
_atom_site_fract_x
_atom_site_fract_y
_atom_site_fract_z
_atom_site_occupancy
Y1 0.000 0.000 0.000 1
Tl1 0.000 0.000 0.500 1
Tl2 0.000 0.500 0.250 1
Fe1 0.000 0.500 0.750 1
# * crystal system: tetragonal
# * uncorrected energy: -4.71 eV per atom

=====

# YTl2Fe PBE-GGA relaxed
data_YTl2Fe
_chemical_formula_sum 'Y2 Tl4 Fe2'
_cell_length_a 4.206
_cell_length_b 3.760
_cell_length_c 12.276
_cell_angle_alpha 90.00
_cell_angle_beta 90.00
_cell_angle_gamma 90.00
_space_group_name_H-M_alt 'A m m 2'
_space_group_IT_number 38
loop_
_space_group_symop_operation_xyz
'x,y,z'
'-x,-y,z'
'-x,y,z'
'x,-y,z'
'x,y+1/2,z+1/2'
'-x,-y+1/2,z+1/2'
'-x,y+1/2,z+1/2'
'x,-y+1/2,z+1/2'
loop_
_atom_site_label
_atom_site_fract_x
_atom_site_fract_y
_atom_site_fract_z
_atom_site_occupancy
Y1 0.000 0.000 0.000 1
Tl1 0.000 0.000 0.723 1
Tl2 0.500 0.000 0.349 1
Fe1 0.500 0.000 0.578 1
# * crystal system: orthorhombic
# * uncorrected energy: -4.73 eV per atom

=====

Number 1: energy of formation 0.374 eV per atom, polymorph energy (0 for the lowest one) 0.240 eV/atom. Number 2: energy of formation 0.205 eV per atom, polymorph energy (0 for the lowest one) 0.067 eV/atom. Number 3: energy of formation 0.189 eV per atom, polymorph energy (0 for the lowest one) 0.050 eV/atom.